[1]
Density functional theory data (PBE-GGA) for a relaxed Sc3BiC crystal.

abc: 16.118 5.956 5.956
angles: 134.61 142.61 37.39
Site moments in Bohr magnetons follow the coordinates.
Fractional coordinates of all 10 atoms:
C1 0.927 0.945 0.055  -0.01
C2 0.073 0.055 0.945  -0.01
Sc1 0.943 0.409 0.591  0.15
Sc2 0.170 0.738 0.262  0.13
Sc3 0.329 0.804 0.196  0.21
Sc4 0.830 0.262 0.738  0.13
Sc5 0.671 0.196 0.804  0.21
Sc6 0.057 0.591 0.409  0.15
Bi1 0.390 0.012 0.988  -0.01
Bi2 0.610 0.988 0.012  -0.01

Computed properties:
For the calculated volume, the calculation gives 206.9 Å³ per cell. For the uncorrected energy, the calculation gives -69.4 eV per cell.

***

[2]
Density functional theory data (PBE-GGA) for a relaxed VB3Cl crystal.

abc: 3.809 3.809 3.809
angles: 90.00 90.00 90.00
Site moments in Bohr magnetons follow the coordinates.
Fractional coordinates of all 5 atoms:
B1 0.500 0.000 0.000  -0.03
B2 0.000 0.500 0.000  -0.03
B3 0.000 0.000 0.500  -0.03
V1 0.500 0.500 0.500  1.14
Cl1 0.000 0.000 0.000  0.04

Computed properties:
For the calculated volume, the calculation gives 55.3 Å³ per cell. For the excess energy over the best structure of this formula in the dataset, the calculation gives 0.4081 eV per atom. The calculation puts the uncorrected formation energy at 2.2076 eV/atom. For the uncorrected energy, the calculation gives -20.0 eV per cell.

***

[3]
Density functional theory data (PBE-GGA) for a relaxed Na3La3UO8 crystal.

abc: 7.301 7.301 7.026
angles: 121.31 90.00 120.01
Site moments in Bohr magnetons follow the coordinates.
Fractional coordinates of all 15 atoms:
La1 0.500 0.500 0.500  0.06
La2 0.000 0.500 0.500  0.06
La3 0.500 0.000 0.500  0.06
O1 0.781 0.017 0.298  -0.02
O2 0.261 0.522 0.283  0.00
O3 0.236 0.017 0.298  -0.02
O4 0.219 0.438 0.702  -0.02
O5 0.781 0.562 0.298  -0.02
O6 0.219 0.983 0.702  -0.02
O7 0.739 0.478 0.717  0.00
O8 0.764 0.983 0.702  -0.02
U1 0.000 0.000 0.500  1.69
Na1 0.000 0.000 0.000  0.00
Na2 0.500 0.500 0.000  0.00
Na3 0.000 0.500 0.000  0.00

Computed properties:
For the calculated volume, the calculation gives 259.4 Å³ per cell. The calculation puts the uncorrected formation energy at -2.7434 eV/atom. For the uncorrected energy, the calculation gives -110.8 eV per cell.

***

[4]
Density functional theory data (PBE-GGA) for a relaxed ZnPt2 crystal.

abc: 3.797 4.017 6.262
angles: 108.71 90.00 90.00
Fractional coordinates of all 6 atoms:
Pt1 0.000 0.500 0.000
Pt2 0.500 0.329 0.659
Pt3 0.500 0.671 0.341
Pt4 0.500 0.000 0.000
Zn1 0.000 0.163 0.325
Zn2 0.000 0.837 0.675

Computed properties:
For the calculated volume, the calculation gives 90.5 Å³ per cell. For the uncorrected energy, the calculation gives -29.1 eV per cell.

***

[5]
Density functional theory data (PBE-GGA) for a relaxed LuThAl crystal.

abc: 3.469 3.469 7.080
angles: 104.18 104.18 90.00
Fractional coordinates of all 3 atoms:
Lu1 0.314 0.314 0.628
Th1 0.014 0.014 0.028
Al1 0.672 0.672 0.344

Computed properties:
For the calculated volume, the calculation gives 79.9 Å³ per cell. For the excess energy over the best structure of this formula in the dataset, the calculation gives 0.0000 eV per atom. For the uncorrected energy, the calculation gives -16.2 eV per cell.

***

[6]
Density functional theory data (PBE-GGA) for a relaxed Tm2NbS4 crystal.

abc: 3.766 6.867 7.147
angles: 119.77 105.27 90.00
Site moments in Bohr magnetons follow the coordinates.
Fractional coordinates of all 7 atoms:
S1 0.885 0.194 0.770  0.00
S2 0.115 0.806 0.230  0.00
S3 0.628 0.276 0.257  -0.01
S4 0.372 0.724 0.743  -0.01
Tm1 0.731 0.743 0.461  0.04
Tm2 0.269 0.257 0.539  0.04
Nb1 0.000 0.000 0.000  0.88

Computed properties:
For the calculated volume, the calculation gives 152.8 Å³ per cell. The calculation puts the uncorrected formation energy at -1.5751 eV/atom. For the uncorrected energy, the calculation gives -46.5 eV per cell.

***

[7]
Density functional theory data (PBE-GGA) for a relaxed YScSe3 crystal.

abc: 7.556 7.556 7.556
angles: 57.58 57.58 57.58
Fractional coordinates of all 10 atoms:
Sc1 0.750 0.750 0.750
Sc2 0.250 0.250 0.250
Y1 0.500 0.500 0.500
Y2 0.000 0.000 0.000
Se1 0.750 0.101 0.399
Se2 0.250 0.899 0.601
Se3 0.899 0.601 0.250
Se4 0.101 0.399 0.750
Se5 0.601 0.250 0.899
Se6 0.399 0.750 0.101

Computed properties:
For the calculated volume, the calculation gives 288.0 Å³ per cell. The calculation puts the uncorrected formation energy at -1.5060 eV/atom. For the uncorrected energy, the calculation gives -61.6 eV per cell.

***

[8]
Density functional theory data (PBE-GGA) for a relaxed Tm3MgAl8 crystal.

abc: 5.487 5.487 9.526
angles: 73.26 73.26 60.00
Fractional coordinates of all 12 atoms:
Al1 0.437 0.939 0.186
Al2 0.188 0.188 0.437
Al3 0.938 0.938 0.688
Al4 0.939 0.437 0.186
Al5 0.938 0.437 0.688
Al6 0.687 0.687 0.938
Al7 0.437 0.938 0.688
Al8 0.437 0.437 0.186
Tm1 0.998 0.998 0.006
Tm2 0.375 0.375 0.876
Tm3 0.502 0.502 0.495
Mg1 0.875 0.875 0.376

Computed properties:
For the calculated volume, the calculation gives 234.2 Å³ per cell. For the uncorrected energy, the calculation gives -49.5 eV per cell.